Record 1
Here is crystalline TlZnB2F8 at its relaxed geometry from Alexandria via LeMat-Bulk. Energies are from PBE-GGA.

The structure in POSCAR format:
```
TlZnB2F8
1.0
-2.6804 -4.2434 -1.5363
2.3441 -4.6956 -0.0868
-2.3646 -4.2412 6.8736
Tl Zn B F
1 1 2 8
Direct
0.5000 0.5000 0.5000 Tl
0.0000 0.0000 0.0000 Zn
0.2510 0.2510 0.2471 B
0.7490 0.7490 0.7529 B
0.1906 0.1906 0.4282 F
0.5176 0.2874 0.1886 F
0.8094 0.8094 0.5718 F
0.0064 0.5176 0.1886 F
0.9936 0.4824 0.8114 F
0.2874 0.0064 0.1886 F
0.7126 0.9936 0.8114 F
0.4824 0.7126 0.8114 F
```

- formation energy without anion corrections (eV/atom) = -2.434
- ρ (g cm⁻³) = 3.93
- M_tot (μB/cell) = 1.00
- DOS(E_F) (states/eV per cell) = 0.7

Record 2
Here is crystalline TlZnBF6 at its relaxed geometry from Alexandria via LeMat-Bulk. Energies are from PBE-GGA.

The structure in POSCAR format:
```
TlZnBF6
1.0
-3.8897 3.1646 -0.5155
-4.6415 -1.4755 1.3026
0.9218 2.0445 5.5942
Tl Zn B F
1 1 1 6
Direct
0.0001 0.0000 0.9998 Tl
0.6667 0.6667 0.5002 Zn
0.3335 0.3333 0.4997 B
0.0604 0.3477 0.3413 F
0.3476 0.0603 0.6587 F
0.5918 0.3476 0.6586 F
0.0604 0.5919 0.6587 F
0.3476 0.5918 0.3414 F
0.5917 0.0606 0.3414 F
```

- formation energy without anion corrections (eV/atom) = -2.151
- ρ (g cm⁻³) = 4.94
- M_tot (μB/cell) = 0.00
- DOS(E_F) (states/eV per cell) = 0.0

Record 3
Here is crystalline UBF at its relaxed geometry from Alexandria via LeMat-Bulk. Energies are from PBE-GGA.

The structure in POSCAR format:
```
UBF
1.0
-1.1538 2.7653 -2.3255
-3.4743 1.4971 0.4110
2.2209 6.6723 3.7392
U B F
2 2 2
Direct
0.8600 0.0012 0.2787 U
0.1400 0.9988 0.7213 U
0.5541 0.3221 0.5698 B
0.4459 0.6779 0.4302 B
0.2685 0.3294 0.1336 F
0.7315 0.6706 0.8664 F
```

- formation energy without anion corrections (eV/atom) = -1.181
- ρ (g cm⁻³) = 9.19
- M_tot (μB/cell) = 4.38
- DOS(E_F) (states/eV per cell) = 8.3